A relaxed LiNdTe2O8 crystal, computed with PBE.

Values from the calculation:
* raw formation energy: -1748.9 kJ/mol of formula units
* M_tot: 0.00 μB/f.u.
* density of states at the Fermi level: 0.00 states/eV per cell
* final energy: -5.90 eV per atom

Unit cell a=6.284 b=6.284 c=6.284 alpha=106.83 beta=106.83 gamma=114.89
Fractional positions:
Li (0.000, 0.000, 0.000)
Nd (0.750, 0.250, 0.500)
Te (0.250, 0.750, 0.500)
Te (0.500, 0.500, 0.000)
O (0.070, 0.384, 0.313)
O (0.070, 0.757, 0.687)
O (0.139, 0.328, 0.811)
O (0.243, 0.930, 0.313)
O (0.518, 0.328, 0.189)
O (0.616, 0.930, 0.687)
O (0.672, 0.482, 0.811)
O (0.672, 0.861, 0.189)

=====

A relaxed LiNd2TeO6 crystal, computed with PBE.

Values from the calculation:
* raw formation energy: -2219.5 kJ/mol of formula units
* M_tot: 0.25 μB/f.u.
* density of states at the Fermi level: 4.10 states/eV per cell
* final energy: -6.73 eV per atom

Unit cell a=5.793 b=5.793 c=5.793 alpha=60.01 beta=60.01 gamma=60.01
Fractional positions:
Li (0.000, 0.000, 0.000)
Nd (0.230, 0.230, 0.230)
Nd (0.735, 0.735, 0.735)
Te (0.506, 0.506, 0.506)
O (0.160, 0.365, 0.780)
O (0.300, 0.848, 0.644)
O (0.365, 0.780, 0.160)
O (0.644, 0.300, 0.848)
O (0.780, 0.160, 0.365)
O (0.848, 0.644, 0.300)

=====

A relaxed Li3Nd3Te2O12 crystal, computed with PBE.

Values from the calculation:
* raw formation energy: -4444.7 kJ/mol of formula units
* M_tot: 0.00 μB/f.u.
* density of states at the Fermi level: 0.00 states/eV per cell
* final energy: -6.59 eV per atom

Unit cell a=11.007 b=11.007 c=11.007 alpha=109.47 beta=109.47 gamma=109.47
Fractional positions:
Li (0.125, 0.750, 0.875)
Li (0.125, 0.875, 0.250)
Li (0.250, 0.125, 0.875)
Li (0.250, 0.625, 0.375)
Li (0.375, 0.250, 0.625)
Li (0.375, 0.625, 0.750)
Li (0.625, 0.375, 0.250)
Li (0.625, 0.750, 0.375)
Li (0.750, 0.375, 0.625)
Li (0.750, 0.875, 0.125)
Li (0.875, 0.125, 0.750)
Li (0.875, 0.250, 0.125)
Nd (0.125, 0.250, 0.375)
Nd (0.125, 0.375, 0.750)
Nd (0.250, 0.375, 0.125)
Nd (0.250, 0.875, 0.625)
Nd (0.375, 0.125, 0.250)
Nd (0.375, 0.750, 0.125)
Nd (0.625, 0.250, 0.875)
Nd (0.625, 0.875, 0.750)
Nd (0.750, 0.125, 0.375)
Nd (0.750, 0.625, 0.875)
Nd (0.875, 0.625, 0.250)
Nd (0.875, 0.750, 0.625)
Te (0.000, 0.000, 0.000)
Te (0.000, 0.000, 0.500)
Te (0.000, 0.500, 0.000)
Te (0.000, 0.500, 0.500)
Te (0.500, 0.000, 0.000)
Te (0.500, 0.000, 0.500)
Te (0.500, 0.500, 0.000)
Te (0.500, 0.500, 0.500)
O (0.023, 0.193, 0.117)
O (0.023, 0.330, 0.906)
O (0.077, 0.693, 0.670)
O (0.077, 0.883, 0.406)
O (0.094, 0.617, 0.423)
O (0.094, 0.977, 0.670)
O (0.117, 0.023, 0.193)
O (0.117, 0.594, 0.923)
O (0.170, 0.193, 0.577)
O (0.170, 0.477, 0.594)
O (0.193, 0.117, 0.023)
O (0.193, 0.577, 0.170)
O (0.307, 0.330, 0.923)
O (0.307, 0.477, 0.383)
O (0.330, 0.906, 0.023)
O (0.330, 0.923, 0.307)
O (0.383, 0.307, 0.477)
O (0.383, 0.577, 0.906)
O (0.406, 0.077, 0.883)
O (0.406, 0.830, 0.523)
O (0.423, 0.094, 0.617)
O (0.423, 0.830, 0.807)
O (0.477, 0.383, 0.307)
O (0.477, 0.594, 0.170)
O (0.523, 0.406, 0.830)
O (0.523, 0.617, 0.693)
O (0.577, 0.170, 0.193)
O (0.577, 0.906, 0.383)
O (0.594, 0.170, 0.477)
O (0.594, 0.923, 0.117)
O (0.617, 0.423, 0.094)
O (0.617, 0.693, 0.523)
O (0.670, 0.077, 0.693)
O (0.670, 0.094, 0.977)
O (0.693, 0.523, 0.617)
O (0.693, 0.670, 0.077)
O (0.807, 0.423, 0.830)
O (0.807, 0.883, 0.977)
O (0.830, 0.523, 0.406)
O (0.830, 0.807, 0.423)
O (0.883, 0.406, 0.077)
O (0.883, 0.977, 0.807)
O (0.906, 0.023, 0.330)
O (0.906, 0.383, 0.577)
O (0.923, 0.117, 0.594)
O (0.923, 0.307, 0.330)
O (0.977, 0.670, 0.094)
O (0.977, 0.807, 0.883)